<1>
VASP calculation (PBE-GGA) on an optimized crystal structure of CdClF3.

```
CdClF3
1.0
4.399 0.000 0.000
0.000 4.399 0.000
0.000 0.000 4.399
Cd F Cl
1 3 1
direct
0.500 0.500 0.500
0.000 0.500 0.000
0.500 0.000 0.000
0.000 0.000 0.500
0.000 0.000 0.000
```

## Properties
The calculation puts the density of states at the Fermi level at 3.36 states/eV/f.u.

<2>
VASP calculation (PBE-GGA) on an optimized crystal structure of CdClF3.

```
CdClF3
1.0
4.410 0.000 0.000
0.000 4.410 0.000
0.000 0.000 4.410
F Cl Cd
3 1 1
direct
0.000 0.000 0.500
0.000 0.500 0.000
0.500 0.000 0.000
0.500 0.500 0.500
0.000 0.000 0.000
```

## Properties
The calculation puts the density of states at the Fermi level at 5.95 states/eV/f.u.

Short version: <1> is the least stable of them.

<1>
VASP calculation (PBE-GGA) on an optimized crystal structure of CdClF.

```
CdClF
1.0
-0.978 -2.024 -3.649
0.672 -4.218 -0.358
-3.329 -2.697 -0.129
Cl Cd F
1 1 1
direct
0.000 0.000 0.000
0.250 0.250 0.250
0.500 0.500 0.500
```

## Properties
The calculation puts the density of states at the Fermi level at 0.00 states/eV/f.u.

<2>
VASP calculation (PBE-GGA) on an optimized crystal structure of CdClF.

```
CdClF
1.0
7.135 0.000 0.000
-2.378 7.966 0.000
-2.378 -3.983 6.899
F Cl Cd
6 6 6
direct
0.903 0.302 0.833
0.069 0.167 0.469
0.931 0.833 0.531
0.097 0.698 0.167
0.600 0.531 0.698
0.400 0.469 0.302
0.127 0.630 0.762
0.504 0.868 0.630
0.636 0.762 0.132
0.873 0.370 0.238
0.496 0.132 0.370
0.364 0.238 0.868
0.746 0.528 0.487
0.259 0.513 0.041
0.254 0.472 0.513
0.741 0.487 0.959
0.219 0.959 0.472
0.781 0.041 0.528
```

## Properties
The calculation puts the density of states at the Fermi level at 0.00 states/eV/f.u.

<3>
VASP calculation (PBE-GGA) on an optimized crystal structure of CdClF.

```
CdClF
1.0
-2.634 1.258 -4.497
1.577 -2.901 -1.735
-3.248 -0.433 1.781
F Cl Cd
1 1 1
direct
0.207 0.333 0.667
0.754 0.667 0.333
0.039 0.000 0.000
```

## Properties
The calculation puts the density of states at the Fermi level at 0.00 states/eV/f.u.

<4>
VASP calculation (PBE-GGA) on an optimized crystal structure of CdClF.

```
CdClF
1.0
-2.765 1.881 -2.016
-3.079 1.521 1.860
2.809 9.357 1.096
Cd F Cl
2 2 2
direct
0.889 0.889 0.332
0.111 0.111 0.668
0.807 0.807 0.579
0.193 0.193 0.421
0.605 0.605 0.186
0.395 0.395 0.814
```

## Properties
The calculation puts the density of states at the Fermi level at 0.00 states/eV/f.u.

Short version: <1> is the least stable of them.

<1>
VASP calculation (PBE-GGA) on an optimized crystal structure of CdClF.

```
CdClF
1.0
-0.737 -3.648 0.487
2.985 0.150 5.632
-9.436 2.564 4.933
Cl F Cd
4 4 4
direct
0.750 0.122 0.339
0.250 0.622 0.161
0.250 0.878 0.661
0.750 0.378 0.839
0.250 0.403 0.577
0.750 0.597 0.423
0.750 0.903 0.923
0.250 0.097 0.077
0.250 0.088 0.867
0.750 0.912 0.133
0.750 0.588 0.633
0.250 0.412 0.367
```

## Properties
The calculation puts the density of states at the Fermi level at 0.00 states/eV/f.u.

<2>
VASP calculation (PBE-GGA) on an optimized crystal structure of CdClF.

```
CdClF
1.0
4.243 0.000 0.000
0.000 4.243 0.000
-2.121 -2.121 3.540
F Cl Cd
1 1 1
direct
0.970 0.970 0.941
0.347 0.347 0.693
0.683 0.683 0.366
```

## Properties
The calculation puts the density of states at the Fermi level at 0.00 states/eV/f.u.

Short version: <2> is the least stable of them.

<1>
VASP calculation (PBE-GGA) on an optimized crystal structure of CdCl2F.

```
CdCl2F
1.0
2.823 0.000 6.640
-1.411 2.445 6.640
-1.411 -2.445 6.640
Cd F Cl
1 1 2
direct
0.000 0.000 0.000
0.500 0.500 0.500
0.886 0.886 0.886
0.114 0.114 0.114
```

## Properties
The calculation puts the density of states at the Fermi level at 6.91 states/eV/f.u.

<2>
VASP calculation (PBE-GGA) on an optimized crystal structure of CdCl2F.

```
CdCl2F
1.0
-0.795 2.993 -5.971
2.487 -5.448 -3.062
-3.546 -3.048 -4.844
Cl Cd F
4 2 2
direct
0.875 0.910 0.750
0.090 0.625 0.250
0.660 0.125 0.250
0.375 0.340 0.750
0.750 0.250 0.500
0.000 0.000 0.000
0.500 0.500 0.000
0.250 0.750 0.500
```

## Properties
The calculation puts the density of states at the Fermi level at 4.22 states/eV/f.u.

<3>
VASP calculation (PBE-GGA) on an optimized crystal structure of CdCl2F.

```
CdCl2F
1.0
-0.445 -3.504 -3.042
-3.369 0.122 -3.219
1.085 0.655 -4.485
F Cd Cl
1 1 2
direct
0.000 0.000 0.000
0.500 0.500 0.500
0.250 0.250 0.250
0.750 0.750 0.750
```

## Properties
The calculation puts the density of states at the Fermi level at 4.84 states/eV/f.u.

Short version: <1> is the least stable of them.

<1>
VASP calculation (PBE-GGA) on an optimized crystal structure of Cd2ClF.

```
Cd2ClF
1.0
5.170 0.000 0.000
0.000 5.170 0.000
2.585 2.585 7.529
F Cd Cl
2 4 2
direct
0.500 0.500 0.000
0.250 0.750 0.500
0.875 0.778 0.750
0.375 0.472 0.750
0.222 0.625 0.250
0.528 0.125 0.250
0.750 0.250 0.500
0.000 0.000 0.000
```

## Properties
The calculation puts the density of states at the Fermi level at 1.21 states/eV/f.u.

<2>
VASP calculation (PBE-GGA) on an optimized crystal structure of Cd2ClF.

```
Cd2ClF
1.0
4.260 -2.216 -0.746
2.865 -1.090 3.771
0.596 -4.633 1.340
Cl F Cd
1 1 2
direct
0.500 0.500 0.500
0.000 0.000 0.000
0.750 0.750 0.750
0.250 0.250 0.250
```

## Properties
The calculation puts the density of states at the Fermi level at 1.70 states/eV/f.u.

Short version: <2> is the least stable of them.

<1>
VASP calculation (PBE-GGA) on an optimized crystal structure of CdCl3F.

```
CdCl3F
1.0
5.189 0.000 0.000
0.000 5.189 0.000
0.000 0.000 5.189
Cl Cd F
3 1 1
direct
0.000 0.500 0.000
0.500 0.000 0.000
0.000 0.000 0.500
0.000 0.000 0.000
0.500 0.500 0.500
```

## Properties
The calculation puts the density of states at the Fermi level at 10.94 states/eV/f.u.

<2>
VASP calculation (PBE-GGA) on an optimized crystal structure of CdCl3F.

```
CdCl3F
1.0
-3.086 -3.561 0.033
2.193 -1.934 -3.695
2.806 -2.404 2.924
F Cl Cd
1 3 1
direct
0.000 0.000 0.000
0.000 0.000 0.500
0.500 0.000 0.000
0.000 0.500 0.000
0.500 0.500 0.500
```

## Properties
The calculation puts the density of states at the Fermi level at 2.61 states/eV/f.u.

Short version: <2> is the least stable of them.

<1>
VASP calculation (PBE-GGA) on an optimized crystal structure of KCdCl2F.

```
KCdCl2F
1.0
5.312 0.000 0.000
0.000 5.312 0.000
0.000 0.000 4.408
F Cd K Cl
1 1 1 2
direct
0.000 0.000 0.500
0.000 0.000 0.000
0.500 0.500 0.500
0.500 0.000 0.000
0.000 0.500 0.000
```

## Properties
The calculation puts the density of states at the Fermi level at 0.00 states/eV/f.u.

<2>
VASP calculation (PBE-GGA) on an optimized crystal structure of KCdCl2F.

```
KCdCl2F
1.0
4.027 0.000 0.000
0.000 7.460 0.258
0.000 -2.955 8.651
Cl Cd F K
4 2 2 2
direct
0.750 0.939 0.654
0.750 0.789 0.996
0.250 0.211 0.004
0.250 0.061 0.346
0.750 0.141 0.181
0.250 0.859 0.819
0.750 0.427 0.337
0.250 0.573 0.663
0.250 0.648 0.386
0.750 0.352 0.614
```

## Properties
The calculation puts the density of states at the Fermi level at 0.00 states/eV/f.u.

Short version: <1> is the least stable of them.

<1>
VASP calculation (PBE-GGA) on an optimized crystal structure of CdNClF2.

```
CdNClF2
1.0
-0.306 2.258 4.324
-4.799 0.641 -0.674
-0.598 -2.922 1.483
F Cl N Cd
2 1 1 1
direct
0.500 0.000 0.000
0.000 0.500 0.000
0.000 0.000 0.000
0.000 0.000 0.500
0.500 0.500 0.500
```

## Properties
The calculation puts the density of states at the Fermi level at 2.41 states/eV/f.u.

<2>
VASP calculation (PBE-GGA) on an optimized crystal structure of CdNClF2.

```
CdNClF2
1.0
4.154 0.000 0.000
0.000 4.154 0.000
0.000 0.000 6.008
Cd F N Cl
1 2 1 1
direct
0.000 0.000 0.000
0.000 0.500 0.000
0.500 0.000 0.000
0.000 0.000 0.500
0.500 0.500 0.500
```

## Properties
The calculation puts the density of states at the Fermi level at 2.10 states/eV/f.u.

Short version: <1> is the least stable of them.